No. 1
A plane-wave DFT calculation with meta-GGA SCAN was carried out for a PBEsol-optimized structure of ScNi2MoPt.

Computed properties:
M_tot: 2.5 μB/f.u.
Crystal system: tetragonal
Total DFT energy (no corrections): -144.1 eV/cell

Unit cell a=4.207 b=4.207 c=4.548 alpha=90.00 beta=90.00 gamma=90.00
Space group P4/mmm (No. 123)
One atom of each set of equivalent atoms:
1 Sc 0.000 0.000 0.000
2 Ni 0.000 0.500 0.000
3 Mo 0.000 0.000 0.500
4 Pt 0.500 0.500 0.500



No. 2
A plane-wave DFT calculation with meta-GGA SCAN was carried out for a PBEsol-optimized structure of LiSmIn2.

Computed properties:
M_tot: 0.0 μB/f.u.
Crystal system: cubic
Total DFT energy (no corrections): -463.0 eV/cell

Unit cell a=7.218 b=7.218 c=7.218 alpha=90.00 beta=90.00 gamma=90.00
Space group Fm-3m (No. 225)
One atom of each set of equivalent atoms:
1 Li 0.000 0.000 0.000
2 Sm 0.000 0.000 0.500
3 In 0.250 0.250 0.250



No. 3
A plane-wave DFT calculation with meta-GGA SCAN was carried out for a PBEsol-optimized structure of RbHfGaPt2.

Computed properties:
M_tot: 0.0 μB/f.u.
Crystal system: tetragonal
Total DFT energy (no corrections): -230.2 eV/cell

Unit cell a=4.932 b=4.932 c=4.918 alpha=90.00 beta=90.00 gamma=90.00
Space group P4/mmm (No. 123)
One atom of each set of equivalent atoms:
1 Rb 0.000 0.000 0.000
2 Hf 0.500 0.500 0.500
3 Ga 0.000 0.000 0.500
4 Pt 0.000 0.500 0.000



No. 4
A plane-wave DFT calculation with meta-GGA SCAN was carried out for a PBEsol-optimized structure of LiScP.

Computed properties:
M_tot: 0.0 μB/f.u.
Crystal system: cubic
Total DFT energy (no corrections): -120.6 eV/cell

Unit cell a=5.960 b=5.960 c=5.960 alpha=90.00 beta=90.00 gamma=90.00
Space group F-43m (No. 216)
One atom of each set of equivalent atoms:
1 Li 0.000 0.000 0.000
2 Sc 0.000 0.000 0.500
3 P 0.250 0.250 0.750